(1)
HfAlFe | PBE | relaxed

Unit cell a=3.104 b=4.208 c=4.208 alpha=120.00 beta=90.00 gamma=90.00
Positions (direct):
1 Hf 0.643 0.667 0.333
2 Fe 0.211 0.333 0.667
3 Al 0.145 0.000 0.000

Properties
Total magnetization (μB/f.u.): 0.00
E_form (eV per formula unit): -0.63
DFT total energy (eV per cell): -22.786
Fermi-level density of states (states/eV per atom): 1.162
Density (g/cm3): 9.1

(2)
HgP3S | PBE | relaxed

Unit cell a=4.967 b=4.967 c=4.967 alpha=90.00 beta=90.00 gamma=90.00
Positions (direct):
1 P 0.000 0.500 0.000
2 P 0.000 0.000 0.500
3 P 0.500 0.000 0.000
4 S 0.500 0.500 0.500
5 Hg 0.000 0.000 0.000

Properties
Total magnetization (μB/f.u.): 0.02
Excess energy over the best structure of this formula in the dataset (meV/atom): 752
DFT total energy (eV per cell): -12.050
Fermi-level density of states (states/eV per atom): 1.499
Density (g/cm3): 4.4

(3)
Zr4AlIr | PBE | relaxed

Unit cell a=5.474 b=7.997 c=7.396 alpha=114.62 beta=100.89 gamma=109.58
Positions (direct):
1 Zr 0.053 0.214 0.840
2 Zr 0.769 0.700 0.629
3 Zr 0.288 0.626 0.840
4 Zr 0.360 0.929 0.629
5 Zr 0.640 0.071 0.371
6 Zr 0.712 0.374 0.160
7 Zr 0.231 0.300 0.371
8 Zr 0.947 0.786 0.160
9 Al 0.372 0.622 0.244
10 Al 0.628 0.378 0.756
11 Ir 0.249 0.999 0.998
12 Ir 0.751 0.001 0.002

Properties
Total magnetization (μB/f.u.): 0.00
Excess energy over the best structure of this formula in the dataset (meV/atom): 103
E_form (eV per formula unit): -2.28
DFT total energy (eV per cell): -98.148
Fermi-level density of states (states/eV per atom): 1.085
Density (g/cm3): 7.6

(4)
Ac12In5Hg2 | PBE | relaxed

Unit cell a=7.879 b=10.383 c=9.788 alpha=86.32 beta=90.00 gamma=112.30
Positions (direct):
1 Ac 0.958 0.916 0.190
2 Ac 0.085 0.674 0.937
3 Ac 0.588 0.674 0.937
4 Ac 0.091 0.693 0.512
5 Ac 0.602 0.693 0.512
6 Ac 0.506 0.012 0.694
7 Ac 0.494 0.988 0.306
8 Ac 0.909 0.307 0.488
9 Ac 0.398 0.307 0.488
10 Ac 0.915 0.326 0.063
11 Ac 0.412 0.326 0.063
12 Ac 0.042 0.084 0.810
13 In 0.227 0.455 0.750
14 In 0.289 0.577 0.246
15 In 0.000 0.000 0.500
16 In 0.711 0.423 0.754
17 In 0.773 0.545 0.250
18 Hg 0.680 0.000 0.000
19 Hg 0.320 0.000 0.000

Properties
Total magnetization (μB/f.u.): 0.00
E_form (eV per formula unit): -3.83
DFT total energy (eV per cell): -67.431
Fermi-level density of states (states/eV per atom): 0.947
Density (g/cm3): 8.3